(1)
6
Lattice="0.0000 3.7416 3.7416 3.7416 0.0000 3.7416 3.7416 3.7416 0.0000" Properties=species:S:1:pos:R:3 comment="Ta4NiIr, relaxed, DFT PBE-GGA" spacegroup="F-43m, No. 216" crystal_system=cubic total_magnetization_mub_per_fu=0.00 e_form_ev_per_atom=0.408 pbc="T T T"
Ta 0.9343 0.9343 0.9343
Ta 2.8073 2.8073 0.9343
Ta 2.8073 0.9343 2.8073
Ta 0.9343 2.8073 2.8073
Ni 3.7416 3.7416 3.7416
Ir 5.6124 5.6124 5.6124



(2)
5
Lattice="5.7706 0.0000 0.0000 0.0000 5.7706 0.0000 0.0000 0.0000 4.8452" Properties=species:S:1:pos:R:3 comment="Ca2ReTeC, relaxed, DFT PBE-GGA" spacegroup="P4/mmm, No. 123" crystal_system=tetragonal total_magnetization_mub_per_fu=0.94 formation_energy_uncorrected_ev_per_atom=1.82 pbc="T T T"
Ca 0.0000 2.8853 0.0000
Ca 2.8853 0.0000 0.0000
Re 0.0000 0.0000 2.4226
Te 0.0000 0.0000 0.0000
C 2.8853 2.8853 2.4226